# PBE+U ScVOF2, relaxed
# - relative energy among the computed polymorphs (eV/f.u.) = 1.40
data_ScVOF2
_cell_length_a 3.998
_cell_length_b 3.998
_cell_length_c 4.147
_cell_angle_alpha 90.00
_cell_angle_beta 90.00
_cell_angle_gamma 90.00
_symmetry_space_group_name_H-M 'P 4/m m m'
_symmetry_Int_Tables_number 123
_symmetry_space_group_name_Hall '-P 4 2'
loop_
_atom_site_label
_atom_site_type_symbol
_atom_site_fract_x
_atom_site_fract_y
_atom_site_fract_z
_atom_site_occupancy
Sc1 Sc 0.000 0.000 0.000 1
V1 V 0.500 0.500 0.500 1
O1 O 0.500 0.500 0.000 1
F1 F 0.000 0.500 0.500 1